# 1
The following is a DFT calculation (PBE-GGA) of a geometry-optimized Ac2NdLu structure.

Cell: 6.013 6.013 6.013 Å, 60.00 60.00 60.00°
Fractional coordinates of all 4 atoms:
Ac1 0.250 0.250 0.250
Ac2 0.750 0.750 0.750
Nd1 0.500 0.500 0.500
Lu1 0.000 0.000 0.000

Calculated values
As for the density of states at the Fermi level: 7.85 states/eV per cell. The energy above the most stable polymorph in this dataset comes out at 6.2 kJ/mol of atoms. The total energy is -4.268 eV per atom. The calculation puts the formation energy at 0.1089 eV per atom.



# 2
The following is a DFT calculation (PBE-GGA) of a geometry-optimized AcNdLu2 structure.

Cell: 3.682 3.682 11.798 Å, 81.02 81.02 60.00°
Fractional coordinates of all 4 atoms:
Ac1 0.500 0.500 0.500
Lu1 0.748 0.748 0.756
Lu2 0.252 0.252 0.244
Nd1 0.000 0.000 0.000

Calculated values
As for the density of states at the Fermi level: 3.89 states/eV per cell. The energy above the most stable polymorph in this dataset comes out at 0.7 kJ/mol of atoms. The total energy is -4.415 eV per atom. The calculation puts the formation energy at 0.0645 eV per atom.



# 3
The following is a DFT calculation (PBE-GGA) of a geometry-optimized AcNdLu2 structure.

Cell: 5.809 5.809 5.809 Å, 60.00 60.00 60.00°
Fractional coordinates of all 4 atoms:
Ac1 0.000 0.000 0.000
Lu1 0.750 0.750 0.750
Lu2 0.250 0.250 0.250
Nd1 0.500 0.500 0.500

Calculated values
As for the density of states at the Fermi level: 6.10 states/eV per cell. The energy above the most stable polymorph in this dataset comes out at 3.1 kJ/mol of atoms. The total energy is -4.390 eV per atom. The calculation puts the formation energy at 0.0899 eV per atom.



# 4
The following is a DFT calculation (PBE-GGA) of a geometry-optimized AcNdLu2 structure.

Cell: 4.158 4.158 7.989 Å, 90.00 90.00 90.00°
Fractional coordinates of all 4 atoms:
Ac1 0.500 0.500 0.500
Lu1 0.000 0.000 0.234
Lu2 0.000 0.000 0.766
Nd1 0.500 0.500 0.000

Calculated values
As for the density of states at the Fermi level: 5.66 states/eV per cell. The energy above the most stable polymorph in this dataset comes out at 1.8 kJ/mol of atoms. The total energy is -4.404 eV per atom. The calculation puts the formation energy at 0.0760 eV per atom.



# 5
The following is a DFT calculation (PBE-GGA) of a geometry-optimized Ac2NdLu structure.

Cell: 3.707 3.707 13.366 Å, 82.03 82.03 60.00°
Fractional coordinates of all 4 atoms:
Nd1 0.500 0.500 0.500
Ac1 0.087 0.087 0.738
Ac2 0.913 0.913 0.262
Lu1 0.000 0.000 0.000

Calculated values
As for the density of states at the Fermi level: 6.89 states/eV per cell. The energy above the most stable polymorph in this dataset comes out at 21.4 kJ/mol of atoms. The total energy is -4.110 eV per atom. The calculation puts the formation energy at 0.2667 eV per atom.



# 6
The following is a DFT calculation (PBE-GGA) of a geometry-optimized AcNdLu4 structure.

Cell: 6.704 6.704 6.704 Å, 60.00 60.00 60.00°
Last column: magnetic moment on the atom in μB.
Fractional coordinates of all 6 atoms:
Nd1 0.000 0.000 0.000  0.56
Lu1 0.125 0.625 0.625  0.56
Lu2 0.625 0.125 0.625  0.56
Lu3 0.625 0.625 0.125  0.56
Lu4 0.625 0.625 0.625  0.56
Ac1 0.250 0.250 0.250  0.38

Calculated values
As for the density of states at the Fermi level: 9.41 states/eV per cell. The total energy is -4.236 eV per atom. The calculation puts the formation energy at 0.2571 eV per atom.



# 7
The following is a DFT calculation (PBE-GGA) of a geometry-optimized AcNdLu2 structure.

Cell: 4.857 5.305 5.305 Å, 90.00 90.00 90.00°
Fractional coordinates of all 4 atoms:
Lu1 0.000 0.000 0.500
Lu2 0.000 0.500 0.000
Ac1 0.500 0.500 0.500
Nd1 0.500 0.000 0.000

Calculated values
As for the density of states at the Fermi level: 5.86 states/eV per cell. The energy above the most stable polymorph in this dataset comes out at 0.0 kJ/mol of atoms. The total energy is -4.422 eV per atom. The calculation puts the formation energy at 0.0575 eV per atom.



# 8
The following is a DFT calculation (PBE-GGA) of a geometry-optimized AcNdLuPb structure.

Cell: 5.652 5.652 5.652 Å, 60.00 60.00 60.00°
Fractional coordinates of all 4 atoms:
Pb1 0.250 0.250 0.250
Ac1 0.750 0.750 0.750
Nd1 0.500 0.500 0.500
Lu1 0.000 0.000 0.000

Calculated values
As for the density of states at the Fermi level: 6.41 states/eV per cell. The total energy is -4.322 eV per atom. The calculation puts the formation energy at -0.0458 eV per atom.



# 9
The following is a DFT calculation (PBE-GGA) of a geometry-optimized AcPrNdLu structure.

Cell: 5.916 5.916 5.916 Å, 60.00 60.00 60.00°
Fractional coordinates of all 4 atoms:
Nd1 0.250 0.250 0.250
Ac1 0.500 0.500 0.500
Lu1 0.000 0.000 0.000
Pr1 0.750 0.750 0.750

Calculated values
As for the density of states at the Fermi level: 10.77 states/eV per cell. The total energy is -4.376 eV per atom. The calculation puts the formation energy at 0.1686 eV per atom.



# 10
The following is a DFT calculation (PBE-GGA) of a geometry-optimized AcNdSmLu structure.

Cell: 5.881 5.881 5.881 Å, 60.00 60.00 60.00°
Last column: magnetic moment on the atom in μB.
Fractional coordinates of all 4 atoms:
Sm1 0.750 0.750 0.750  -0.07
Ac1 0.500 0.500 0.500  -0.05
Lu1 0.000 0.000 0.000  -0.07
Nd1 0.250 0.250 0.250  -0.08

Calculated values
As for the density of states at the Fermi level: 10.41 states/eV per cell. The total energy is -4.354 eV per atom. The calculation puts the formation energy at 0.1755 eV per atom.



# 11
The following is a DFT calculation (PBE-GGA) of a geometry-optimized AcNdLuTl structure.

Cell: 5.650 5.650 5.650 Å, 60.00 60.00 60.00°
Fractional coordinates of all 4 atoms:
Ac1 0.500 0.500 0.500
Tl1 0.000 0.000 0.000
Lu1 0.250 0.250 0.250
Nd1 0.750 0.750 0.750

Calculated values
As for the density of states at the Fermi level: 7.59 states/eV per cell. The total energy is -3.886 eV per atom. The calculation puts the formation energy at 0.0550 eV per atom.



# 12
The following is a DFT calculation (PBE-GGA) of a geometry-optimized AcNdLuZn structure.

Cell: 5.552 5.552 5.552 Å, 60.00 60.00 60.00°
Fractional coordinates of all 4 atoms:
Lu1 0.750 0.750 0.750
Nd1 0.250 0.250 0.250
Ac1 0.500 0.500 0.500
Zn1 0.000 0.000 0.000

Calculated values
As for the density of states at the Fermi level: 6.74 states/eV per cell. The total energy is -3.473 eV per atom. The calculation puts the formation energy at 0.1943 eV per atom.



# 13
The following is a DFT calculation (PBE-GGA) of a geometry-optimized AcLuNi2 structure.

Cell: 4.960 4.960 4.960 Å, 60.00 60.00 60.00°
Fractional coordinates of all 4 atoms:
Ac1 0.500 0.500 0.500
Ni1 0.250 0.250 0.250
Ni2 0.750 0.750 0.750
Lu1 0.000 0.000 0.000

Calculated values
As for the density of states at the Fermi level: 4.11 states/eV per cell. The energy above the most stable polymorph in this dataset comes out at 7.6 kJ/mol of atoms. The total energy is -5.255 eV per atom. The calculation puts the formation energy at -0.2070 eV per atom.



# 14
The following is a DFT calculation (PBE-GGA) of a geometry-optimized AcLuNi2 structure.

Cell: 3.508 3.508 6.902 Å, 90.00 90.00 90.00°
Fractional coordinates of all 4 atoms:
Lu1 0.500 0.500 0.000
Ac1 0.500 0.500 0.500
Ni1 0.000 0.000 0.796
Ni2 0.000 0.000 0.204

Calculated values
As for the density of states at the Fermi level: 3.51 states/eV per cell. The energy above the most stable polymorph in this dataset comes out at 2.4 kJ/mol of atoms. The total energy is -5.309 eV per atom. The calculation puts the formation energy at -0.2611 eV per atom.



# 15
The following is a DFT calculation (PBE-GGA) of a geometry-optimized AcLu2Ni structure.

Cell: 3.777 3.777 10.523 Å, 79.66 79.66 60.00°
Fractional coordinates of all 4 atoms:
Lu1 0.119 0.119 0.642
Lu2 0.881 0.881 0.358
Ni1 0.500 0.500 0.500
Ac1 0.000 0.000 0.000

Calculated values
As for the density of states at the Fermi level: 4.78 states/eV per cell. The energy above the most stable polymorph in this dataset comes out at 16.9 kJ/mol of atoms. The total energy is -4.719 eV per atom. The calculation puts the formation energy at 0.0141 eV per atom.



# 16
The following is a DFT calculation (PBE-GGA) of a geometry-optimized AcLu2Ni structure.

Cell: 3.474 3.474 8.884 Å, 90.00 90.00 90.00°
Fractional coordinates of all 4 atoms:
Ni1 0.500 0.500 0.000
Lu1 0.000 0.000 0.825
Lu2 0.000 0.000 0.175
Ac1 0.500 0.500 0.500

Calculated values
As for the density of states at the Fermi level: 4.11 states/eV per cell. The energy above the most stable polymorph in this dataset comes out at 0.0 kJ/mol of atoms. The total energy is -4.894 eV per atom. The calculation puts the formation energy at -0.1610 eV per atom.